# 1
Compound: PaTaRh6
Source: Alexandria via LeMat-Bulk
Functional: GGA-PBE
Structure: optimized geometry

a b c (Å): 3.981 3.981 7.950
angles (deg): 90.00 90.00 90.00
Space group P4/mmm (No. 123)
Asymmetric unit:
Pa 0.000 0.000 0.000
Ta 0.000 0.000 0.500
Rh 0.000 0.500 0.261
Rh 0.500 0.500 0.000
Rh 0.500 0.500 0.500

Summary:
Density (Mg/m³): 13.6
Magnetic moment (μB/f.u.): 0.00
Electronic total energy (eV per atom): -8.913
Formation energy (meV per atom): -731.3

# 2
Compound: CsEuBi2
Source: Alexandria via LeMat-Bulk
Functional: GGA-PBE
Structure: optimized geometry

a b c (Å): 4.462 4.462 8.312
angles (deg): 90.00 90.00 90.00
Space group P4/mmm (No. 123)
Asymmetric unit:
Cs 0.000 0.000 0.000
Eu 0.000 0.000 0.500
Bi 0.500 0.500 0.319

Summary:
Density (Mg/m³): 7.1
Magnetic moment (μB/f.u.): 7.02
Electronic total energy (eV per atom): -5.309
Energy above the most stable polymorph in this dataset (meV per atom): 0.0
Formation energy (meV per atom): -586.9

# 3
Compound: LiLaEr2Tl4
Source: Alexandria via LeMat-Bulk
Functional: GGA-PBE
Structure: optimized geometry

a b c (Å): 5.2728 5.2728 27.1414
angles (deg): 90.00 90.00 120.00
Space group R-3m (No. 166, hexagonal axes)
Asymmetric unit:
Li 0.0000 0.0000 0.0000
La 0.0000 0.0000 0.5000
Er 0.0000 0.0000 0.2554
Tl 0.0000 0.0000 0.1189
Tl 0.0000 0.0000 0.3709

Summary:
Density (Mg/m³): 9.9
Magnetic moment (μB/f.u.): 0.00
Electronic total energy (eV per atom): -3.501
Formation energy (meV per atom): -321.5

# 4
Compound: SrLaTl
Source: Alexandria via LeMat-Bulk
Functional: GGA-PBE
Structure: optimized geometry

a b c (Å): 5.5229 5.5229 27.1433
angles (deg): 90.00 90.00 120.00
Space group R3m (No. 160, hexagonal axes)
Asymmetric unit:
Sr 0.0000 0.0000 0.0000
Sr 0.0000 0.0000 0.4265
La 0.0000 0.0000 0.2494
La 0.0000 0.0000 0.8487
Tl 0.0000 0.0000 0.1312
Tl 0.0000 0.0000 0.5979

Summary:
Density (Mg/m³): 6.0
Magnetic moment (μB/f.u.): 0.00
Electronic total energy (eV per atom): -3.197
Formation energy (meV per atom): -205.0